Entry 1:
A relaxed structure of BaCaZr. Source: Alexandria, functional PBEsol.

Results
crystal system: trigonal
offset from the most stable computed form: 2.3 meV per atom
formation enthalpy at 0 K: 0.449 eV/atom

```
3
Lattice="3.5832 0.0000 0.0000 -1.7916 3.1031 0.0000 0.0000 0.0000 9.0235" Properties=species:S:1:pos:R:3 pbc="T T T"
Ba 0.0000 0.0000 0.0000
Ca 1.7916 1.0344 5.5098
Zr 0.0000 2.0687 2.8572
```

---

Entry 2:
A relaxed structure of BaCd2. Source: Alexandria, functional PBEsol.

Results
crystal system: orthorhombic
formation enthalpy at 0 K: -0.212 eV/atom

```
12
Lattice="7.0145 0.0000 0.0000 0.0000 5.2948 0.0000 0.0000 0.0000 9.8219" Properties=species:S:1:pos:R:3 pbc="T T T"
Ba 1.1658 1.3237 0.7528
Ba 2.3415 3.9711 5.6638
Ba 4.6730 1.3237 4.1581
Ba 5.8487 3.9711 9.0691
Cd 0.1539 1.3237 6.9560
Cd 1.0087 1.3237 4.0618
Cd 2.4986 3.9711 8.9728
Cd 3.3534 3.9711 2.0451
Cd 3.6611 1.3237 7.7768
Cd 4.5159 1.3237 0.8491
Cd 6.0059 3.9711 5.7601
Cd 6.8606 3.9711 2.8659
```

---

Entry 3:
A relaxed structure of Ba5Cd4. Source: Alexandria, functional PBEsol.

Results
crystal system: hexagonal
formation enthalpy at 0 K: -0.175 eV/atom

```
18
Lattice="10.5050 0.0000 0.0000 -5.2525 9.0976 0.0000 0.0000 0.0000 7.3605" Properties=species:S:1:pos:R:3 pbc="T T T"
Ba -1.4869 2.5753 1.8401
Ba -3.7657 6.5223 5.5203
Ba 2.9737 0.0000 1.8401
Ba 1.4869 2.5753 5.5203
Ba 0.0000 6.0651 0.0000
Ba 0.0000 6.0651 3.6802
Ba 5.2525 3.0325 0.0000
Ba 5.2525 3.0325 3.6802
Ba 7.5313 0.0000 5.5203
Ba 3.7657 6.5223 1.8401
Cd 0.0000 0.0000 0.0000
Cd 0.0000 0.0000 3.6802
Cd -2.0307 3.5172 5.5203
Cd -3.2219 5.5804 1.8401
Cd 4.0613 0.0000 5.5203
Cd 2.0307 3.5172 1.8401
Cd 6.4437 0.0000 1.8401
Cd 3.2219 5.5804 5.5203
```

---

Entry 4:
A relaxed structure of BaCd5. Source: Alexandria, functional PBEsol.

Results
crystal system: monoclinic
formation enthalpy at 0 K: -0.192 eV/atom

```
12
Lattice="8.4183 0.0000 0.0000 0.0000 4.8556 0.0000 -0.0252 0.0000 7.7798" Properties=species:S:1:pos:R:3 pbc="T T T"
Ba 0.0000 0.0000 0.0000
Ba 4.2092 2.4278 0.0000
Cd -0.0126 0.0000 3.8899
Cd 1.3793 2.4278 5.4296
Cd 1.4001 2.4278 2.3532
Cd 2.7839 0.0000 5.4266
Cd 2.8047 0.0000 2.3502
Cd 4.1966 2.4278 3.8899
Cd 5.5885 0.0000 5.4296
Cd 5.6093 0.0000 2.3532
Cd 6.9930 2.4278 5.4266
Cd 7.0138 2.4278 2.3502
```

---

Entry 5:
A relaxed structure of BaCd2. Source: Alexandria, functional PBEsol.

Results
crystal system: orthorhombic
formation enthalpy at 0 K: -0.333 eV/atom

```
12
Lattice="5.1860 0.0000 0.0000 0.0000 8.2637 0.0000 0.0000 0.0000 8.4519" Properties=species:S:1:pos:R:3 pbc="T T T"
Ba 0.0000 2.0659 0.4465
Ba 0.0000 6.1978 8.0055
Ba 2.5930 2.0659 3.7795
Ba 2.5930 6.1978 4.6724
Cd 0.0000 0.5463 5.6070
Cd 0.0000 3.5855 5.6070
Cd 0.0000 4.6782 2.8450
Cd 0.0000 7.7174 2.8450
Cd 2.5930 0.5463 7.0709
Cd 2.5930 3.5855 7.0709
Cd 2.5930 4.6782 1.3810
Cd 2.5930 7.7174 1.3810
```

---

Entry 6:
A relaxed structure of Ba3Cd. Source: Alexandria, functional PBEsol.

Results
crystal system: tetragonal
offset from the most stable computed form: 0.0 meV per atom
formation enthalpy at 0 K: -0.149 eV/atom

```
4
Lattice="4.2222 0.0000 0.0000 0.0000 4.2222 0.0000 0.0000 0.0000 10.6181" Properties=species:S:1:pos:R:3 pbc="T T T"
Ba 0.0000 0.0000 0.0000
Ba 2.1111 2.1111 3.3625
Ba 2.1111 2.1111 7.2556
Cd 0.0000 0.0000 5.3090
```

---

Entry 7:
A relaxed structure of Ba3Cd. Source: Alexandria, functional PBEsol.

Results
crystal system: orthorhombic
offset from the most stable computed form: 42.5 meV per atom
formation enthalpy at 0 K: -0.106 eV/atom

```
8
Lattice="4.3163 0.0000 0.0000 0.0000 6.3242 0.0000 0.0000 0.0000 13.3741" Properties=species:S:1:pos:R:3 pbc="T T T"
Ba 0.0000 0.0000 0.0000
Ba 0.0000 3.1621 2.7337
Ba 0.0000 3.1621 10.6404
Ba 2.1581 0.0000 3.9534
Ba 2.1581 0.0000 9.4207
Ba 2.1581 3.1621 6.6871
Cd 0.0000 0.0000 6.6871
Cd 2.1581 3.1621 0.0000
```

---

Entry 8:
A relaxed structure of BaCd2. Source: Alexandria, functional PBEsol.

Results
crystal system: orthorhombic
formation enthalpy at 0 K: -0.225 eV/atom

```
12
Lattice="4.4269 0.0000 0.0000 0.0000 6.7850 0.0000 0.0000 0.0000 12.8333" Properties=species:S:1:pos:R:3 pbc="T T T"
Ba 0.0000 0.0000 2.2081
Ba 0.0000 0.0000 10.6252
Ba 2.2135 3.3925 4.2086
Ba 2.2135 3.3925 8.6248
Cd 0.0000 1.5607 6.4167
Cd 0.0000 3.3925 1.4569
Cd 0.0000 3.3925 11.3764
Cd 0.0000 5.2242 6.4167
Cd 2.2135 0.0000 4.9597
Cd 2.2135 0.0000 7.8736
Cd 2.2135 1.8318 0.0000
Cd 2.2135 4.9532 0.0000
```

---

Entry 9:
A relaxed structure of Ba5Cd24. Source: Alexandria, functional PBEsol.

Results
crystal system: cubic
formation enthalpy at 0 K: -0.160 eV/atom

```
29
Lattice="-5.6714 5.6714 5.6714 5.6714 -5.6714 5.6714 5.6714 5.6714 -5.6714" Properties=species:S:1:pos:R:3 pbc="T T T"
Ba 0.0000 0.0000 0.0000
Ba 2.1366 2.1366 -2.1366
Ba 2.1366 -2.1366 2.1366
Ba -2.1366 2.1366 2.1366
Ba 3.5348 3.5348 3.5348
Cd 5.4038 1.5902 -1.5902
Cd 5.4038 -1.5902 1.5902
Cd 8.1141 1.0250 -1.0250
Cd 8.1141 -1.0250 1.0250
Cd 3.2287 1.0250 1.0250
Cd 4.6464 4.6464 -2.4427
Cd 4.6464 -2.4427 4.6464
Cd 5.9391 1.5902 1.5902
Cd 1.5902 5.4038 -1.5902
Cd 1.5902 -1.5902 5.4038
Cd 1.0250 3.2287 1.0250
Cd 1.0250 1.0250 3.2287
Cd 4.0812 4.0812 0.2677
Cd 4.0812 0.2677 4.0812
Cd -1.5902 5.4038 1.5902
Cd -1.5902 1.5902 5.4038
Cd 1.0250 8.1141 -1.0250
Cd 1.0250 -1.0250 8.1141
Cd 1.5902 5.9391 1.5902
Cd 1.5902 1.5902 5.9391
Cd 0.2677 4.0812 4.0812
Cd -1.0250 8.1141 1.0250
Cd -1.0250 1.0250 8.1141
Cd -2.4427 4.6464 4.6464
```

---

Entry 10:
A relaxed structure of BaCd2. Source: Alexandria, functional PBEsol.

Results
crystal system: tetragonal
formation enthalpy at 0 K: -0.284 eV/atom

```
12
Lattice="4.7236 0.0000 0.0000 0.0000 4.7236 0.0000 0.0000 0.0000 17.6880" Properties=species:S:1:pos:R:3 pbc="T T T"
Ba 0.0000 1.1809 6.6330
Ba 0.0000 3.5427 11.0550
Ba 2.3618 1.1809 2.2110
Ba 2.3618 3.5427 15.4770
Cd 0.0000 1.1809 14.0297
Cd 0.0000 1.1809 16.9243
Cd 0.0000 3.5427 0.7637
Cd 0.0000 3.5427 3.6583
Cd 2.3618 1.1809 9.6077
Cd 2.3618 1.1809 12.5023
Cd 2.3618 3.5427 5.1857
Cd 2.3618 3.5427 8.0803
```

---

Entry 11:
A relaxed structure of BaCd2. Source: Alexandria, functional PBEsol.

Results
crystal system: monoclinic
formation enthalpy at 0 K: -0.238 eV/atom

```
12
Lattice="13.6602 0.0000 0.0000 0.0000 4.5710 0.0000 -0.8657 0.0000 6.1413" Properties=species:S:1:pos:R:3 pbc="T T T"
Ba 1.1831 0.0000 2.0458
Ba 4.7813 2.2855 4.0955
Ba 8.0131 2.2855 2.0458
Ba 11.6114 0.0000 4.0955
Cd 0.4086 2.2855 5.1562
Cd 2.2230 0.0000 5.2755
Cd 3.7414 2.2855 0.8658
Cd 5.5558 0.0000 0.9851
Cd 7.2387 0.0000 5.1562
Cd 9.0531 2.2855 5.2755
Cd 10.5715 0.0000 0.8658
Cd 12.3859 2.2855 0.9851
```

---

Entry 12:
A relaxed structure of Ba7Cd31. Source: Alexandria, functional PBEsol.

Results
crystal system: hexagonal
formation enthalpy at 0 K: -0.250 eV/atom

```
38
Lattice="10.4811 0.0000 0.0000 -5.2405 9.0769 0.0000 0.0000 0.0000 10.1998" Properties=species:S:1:pos:R:3 pbc="T T T"
Ba 0.0000 0.0000 0.0000
Ba 0.0000 3.0454 5.0999
Ba -2.6031 7.5542 5.0999
Ba 0.0000 6.0513 0.0000
Ba 2.6031 7.5542 5.0999
Ba 5.2406 3.0256 2.0846
Ba 5.2406 3.0256 8.1152
Cd 0.0000 0.0000 3.5680
Cd 0.0000 0.0000 6.6318
Cd -2.3489 4.6952 2.6600
Cd -2.3489 4.6952 7.5398
Cd 0.0000 3.0258 1.7267
Cd 0.0000 3.0258 8.4731
Cd -2.6202 7.5640 1.7267
Cd -2.6202 7.5640 8.4731
Cd 2.3830 1.3758 2.7803
Cd 2.3830 1.3758 7.4195
Cd 0.0000 6.0513 3.5334
Cd 0.0000 6.0513 6.6664
Cd 3.7884 0.5219 0.0000
Cd 2.3462 3.0199 0.0000
Cd 2.3489 4.6952 2.6600
Cd 2.3489 4.6952 7.5398
Cd 0.0000 8.7635 2.6600
Cd 0.0000 8.7635 7.5398
Cd 5.2405 1.2655 5.0999
Cd 3.7162 3.9057 5.0999
Cd 6.6927 0.5219 0.0000
Cd 3.7983 5.5351 0.0000
Cd 2.6202 7.5640 1.7267
Cd 2.6202 7.5640 8.4731
Cd 8.0981 1.3758 2.7803
Cd 8.0981 1.3758 7.4195
Cd 5.2405 6.3253 2.7803
Cd 5.2405 6.3253 7.4195
Cd 6.7649 3.9057 5.0999
Cd 8.1349 3.0199 0.0000
Cd 6.6828 5.5351 0.0000
```

---

Entry 13:
A relaxed structure of Ba3Cd. Source: Alexandria, functional PBEsol.

Results
crystal system: orthorhombic
offset from the most stable computed form: 27.7 meV per atom
formation enthalpy at 0 K: -0.121 eV/atom

```
16
Lattice="8.5797 0.0000 0.0000 0.0000 11.2541 0.0000 0.0000 0.0000 7.8029" Properties=species:S:1:pos:R:3 pbc="T T T"
Ba 0.1382 2.8135 0.8767
Ba 1.5830 0.6222 5.2837
Ba 1.5830 5.0048 5.2837
Ba 2.7069 6.2493 1.3822
Ba 2.7069 10.6318 1.3822
Ba 4.1516 8.4406 4.7781
Ba 4.4281 2.8135 3.0248
Ba 5.8728 0.6222 6.4207
Ba 5.8728 5.0048 6.4207
Ba 6.9967 6.2493 2.5192
Ba 6.9967 10.6318 2.5192
Ba 8.4414 8.4406 6.9263
Cd 0.8901 8.4406 3.5770
Cd 3.3997 2.8135 7.4784
Cd 5.1799 8.4406 0.3245
Cd 7.6895 2.8135 4.2259
```

---

Entry 14:
A relaxed structure of BaCd2. Source: Alexandria, functional PBEsol.

Results
crystal system: tetragonal
formation enthalpy at 0 K: -0.217 eV/atom

```
6
Lattice="4.0056 0.0000 0.0000 0.0000 4.0056 0.0000 0.0000 0.0000 11.4065" Properties=species:S:1:pos:R:3 pbc="T T T"
Ba 0.0000 0.0000 0.0000
Ba 2.0028 2.0028 5.7032
Cd 0.0000 0.0000 3.5052
Cd 0.0000 0.0000 7.9013
Cd 2.0028 2.0028 2.1981
Cd 2.0028 2.0028 9.2084
```

---

Entry 15:
A relaxed structure of BaCd5. Source: Alexandria, functional PBEsol.

Results
crystal system: cubic
formation enthalpy at 0 K: -0.145 eV/atom

```
6
Lattice="0.0000 4.2526 4.2526 4.2526 0.0000 4.2526 4.2526 4.2526 0.0000" Properties=species:S:1:pos:R:3 pbc="T T T"
Ba 0.0000 0.0000 0.0000
Cd 3.1954 3.1954 3.1954
Cd 5.3099 5.3099 3.1954
Cd 5.3099 3.1954 5.3099
Cd 6.3789 6.3789 6.3789
Cd 3.1954 5.3099 5.3099
```

---

Entry 16:
A relaxed structure of BaCd2. Source: Alexandria, functional PBEsol.

Results
crystal system: cubic
formation enthalpy at 0 K: -0.288 eV/atom

```
6
Lattice="0.0000 4.4245 4.4245 4.4245 0.0000 4.4245 4.4245 4.4245 0.0000" Properties=species:S:1:pos:R:3 pbc="T T T"
Ba 1.1061 1.1061 1.1061
Ba 7.7428 7.7428 7.7428
Cd 4.4245 2.2122 2.2122
Cd 2.2122 4.4245 2.2122
Cd 2.2122 2.2122 4.4245
Cd 4.4245 4.4245 4.4245
```

---

Entry 17:
A relaxed structure of BaCd2. Source: Alexandria, functional PBEsol.

Results
crystal system: orthorhombic
formation enthalpy at 0 K: -0.243 eV/atom

```
12
Lattice="4.6447 0.0000 0.0000 0.0000 14.5407 0.0000 0.0000 0.0000 5.3121" Properties=species:S:1:pos:R:3 pbc="T T T"
Ba 0.0000 1.2098 1.3280
Ba 0.0000 13.3309 3.9841
Ba 2.3223 6.0605 3.9841
Ba 2.3223 8.4801 1.3280
Cd 0.0000 3.5166 3.9841
Cd 0.0000 5.4693 1.3280
Cd 0.0000 9.0714 3.9841
Cd 0.0000 11.0240 1.3280
Cd 2.3223 1.8011 3.9841
Cd 2.3223 3.7537 1.3280
Cd 2.3223 10.7870 3.9841
Cd 2.3223 12.7396 1.3280
```

---

Entry 18:
A relaxed structure of Ba3Cd2. Source: Alexandria, functional PBEsol.

Results
crystal system: trigonal
formation enthalpy at 0 K: -0.184 eV/atom

```
5
Lattice="5.8583 0.0000 0.0000 -2.9291 5.0734 0.0000 0.0000 0.0000 7.1335" Properties=species:S:1:pos:R:3 pbc="T T T"
Ba 0.0000 0.0000 0.0000
Ba 0.0000 3.3823 2.3738
Ba 2.9291 1.6911 4.7597
Cd 0.0000 3.3823 6.0304
Cd 2.9291 1.6911 1.1031
```

---

Entry 19:
A relaxed structure of BaCdCl. Source: Alexandria, functional PBEsol.

Results
crystal system: hexagonal
offset from the most stable computed form: 0.0 meV per atom
ΔE_f (raw): -2.94 eV/f.u.

```
3
Lattice="5.1872 0.0000 0.0000 -2.5936 4.4923 0.0000 0.0000 0.0000 4.6478" Properties=species:S:1:pos:R:3 pbc="T T T"
Ba 0.0000 0.0000 0.0000
Cd 0.0000 2.9949 2.3239
Cl 2.5936 1.4974 0.0000
```

---

Entry 20:
A relaxed structure of BaCdCl2. Source: Alexandria, functional PBEsol.

Results
crystal system: tetragonal
offset from the most stable computed form: 58.3 meV per atom
ΔE_f (raw): -5.97 eV/f.u.

```
4
Lattice="5.0635 0.0000 0.0000 0.0000 5.0635 0.0000 0.0000 0.0000 4.2133" Properties=species:S:1:pos:R:3 pbc="T T T"
Ba 0.0000 0.0000 0.0000
Cd 2.5317 2.5317 0.0000
Cl 0.0000 2.5317 2.1067
Cl 2.5317 0.0000 2.1067
```

---

Number 1: energy -12.024 eV per formula unit. Number 2: energy -5.180 eV per formula unit. Number 3: energy -17.110 eV per formula unit. Number 4: energy -9.286 eV per formula unit. Number 5: energy -5.542 eV per formula unit. Number 6: energy -8.240 eV per formula unit. Number 7: energy -8.070 eV per formula unit. Number 8: energy -5.219 eV per formula unit. Number 9: energy -44.123 eV per formula unit. Number 10: energy -5.394 eV per formula unit. Number 11: energy -5.257 eV per formula unit. Number 12: energy -61.646 eV per formula unit. Number 13: energy -8.129 eV per formula unit. Number 14: energy -5.193 eV per formula unit. Number 15: energy -9.003 eV per formula unit. Number 16: energy -5.407 eV per formula unit. Number 17: energy -5.273 eV per formula unit. Number 18: energy -9.762 eV per formula unit. Number 19: energy -8.290 eV per formula unit. Number 20: energy -13.331 eV per formula unit.